Record 1
# ZrBe2W (PBE-GGA, relaxed)
# Formation energy from the elements   2.5 eV/f.u.
# N(E_F)   11.99 states/eV per cell
# Density   8.2 Mg/m³
# Total moment   0.00 μB per formula unit
data_ZrBe2W
_chemical_formula_sum 'Zr4 Be8 W4'
_space_group_name_H-M_alt 'F -4 3 m'
_space_group_IT_number 216
_space_group_name_Hall 'F -4 2 3'
_cell_length_a 6.182
_cell_length_b 6.182
_cell_length_c 6.182
_cell_angle_alpha 90.00
_cell_angle_beta 90.00
_cell_angle_gamma 90.00
loop_
_atom_site_label
_atom_site_fract_x
_atom_site_fract_y
_atom_site_fract_z
Zr1 0.000 0.000 0.000
Be1 0.000 0.000 0.500
Be2 0.250 0.250 0.250
W1 0.250 0.250 0.750

Record 2
# ZrBe2W (PBE-GGA, relaxed)
# Formation energy from the elements   2.9 eV/f.u.
# N(E_F)   5.36 states/eV per cell
# Density   7.3 Mg/m³
# Total moment   0.00 μB per formula unit
data_ZrBe2W
_chemical_formula_sum 'Zr4 Be8 W4'
_space_group_name_H-M_alt 'I -4 2 d'
_space_group_IT_number 122
_space_group_name_Hall 'I -4 2bw'
_cell_length_a 4.001
_cell_length_b 4.001
_cell_length_c 16.566
_cell_angle_alpha 90.00
_cell_angle_beta 90.00
_cell_angle_gamma 90.00
loop_
_atom_site_label
_atom_site_fract_x
_atom_site_fract_y
_atom_site_fract_z
Zr1 0.000 0.000 0.000
Be1 0.080 0.250 0.625
W1 0.000 0.000 0.500

Record 3
# ZrBe3W (PBE-GGA, relaxed)
# Formation energy from the elements   10.2 eV/f.u.
# N(E_F)   2.59 states/eV per cell
# Density   6.6 Mg/m³
# Total moment   0.00 μB per formula unit
data_ZrBe3W
_chemical_formula_sum 'Zr1 Be3 W1'
_space_group_name_H-M_alt 'P m -3 m'
_space_group_IT_number 221
_space_group_name_Hall '-P 4 2 3'
_cell_length_a 4.230
_cell_length_b 4.230
_cell_length_c 4.230
_cell_angle_alpha 90.00
_cell_angle_beta 90.00
_cell_angle_gamma 90.00
loop_
_atom_site_label
_atom_site_fract_x
_atom_site_fract_y
_atom_site_fract_z
Zr1 0.000 0.000 0.000
Be1 0.000 0.000 0.500
W1 0.500 0.500 0.500